Entry 1:
Density functional theory data (GGA-PBE) for a relaxed Tc2AgGe2 crystal.

The structure belongs to space group P4/mbm (No. 127); the cell edges are 7.227, 7.227 and 2.987 Å and the angles 90.00°, 90.00° and 90.00°. Symmetry generates all atoms from Tc at (0.147, 0.353, 0.000), Ag at (0.000, 0.000, 0.500) and Ge at (0.146, 0.646, 0.500).

The total magnetization is 0.00 μB/f.u. The calculation puts the formation energy at 0.09 eV/atom. The energy above the lowest structure with this stoichiometry is 0.000 eV per atom. The calculation puts the total energy at -64.702 eV per cell. The calculation puts the calculated volume at 78.0 Å³/f.u.

---

Entry 2:
Density functional theory data (GGA-PBE) for a relaxed TcAgGe crystal.

The structure belongs to space group P4/nmm (No. 129, origin choice 2); the cell edges are 3.117, 3.117 and 9.973 Å and the angles 90.00°, 90.00° and 90.00°. Symmetry generates all atoms from Tc at (0.250, 0.250, 0.087), Ag at (0.250, 0.250, 0.404) and Ge at (0.250, 0.250, 0.782).

The total magnetization is 0.00 μB/f.u. The calculation puts the formation energy at 0.07 eV/atom. The calculation puts the total energy at -35.227 eV per cell. The calculation puts the calculated volume at 48.5 Å³/f.u.

---

Entry 3:
Density functional theory data (GGA-PBE) for a relaxed Tc2AgGe2 crystal.

The structure belongs to space group I4/mmm (No. 139); the cell edges are 3.732, 3.732 and 12.089 Å and the angles 90.00°, 90.00° and 90.00°. Symmetry generates all atoms from Tc at (0.000, 0.000, 0.103), Ag at (0.000, 0.000, 0.500) and Ge at (0.000, 0.500, 0.250).

The total magnetization is 0.96 μB/f.u. The calculation puts the formation energy at 0.37 eV/atom. The energy above the lowest structure with this stoichiometry is 0.281 eV per atom. The calculation puts the total energy at -61.890 eV per cell. The calculation puts the calculated volume at 84.2 Å³/f.u.

---

Entry 4:
Density functional theory data (GGA-PBE) for a relaxed Tc3AgGe crystal.

The structure belongs to space group Pm-3m (No. 221); the cell edges are 4.547, 4.547 and 4.547 Å and the angles 90.00°, 90.00° and 90.00°. Symmetry generates all atoms from Tc at (0.000, 0.000, 0.500), Ag at (0.500, 0.500, 0.500) and Ge at (0.000, 0.000, 0.000).

The total magnetization is 0.00 μB/f.u. The calculation puts the formation energy at 1.40 eV/atom. The energy above the lowest structure with this stoichiometry is 0.000 eV per atom. The calculation puts the total energy at -31.542 eV per cell. The calculation puts the calculated volume at 94.0 Å³/f.u.

---

Entry 5:
Density functional theory data (GGA-PBE) for a relaxed TcAgGe3 crystal.

The structure belongs to space group Pm-3m (No. 221); the cell edges are 4.825, 4.825 and 4.825 Å and the angles 90.00°, 90.00° and 90.00°. Symmetry generates all atoms from Tc at (0.000, 0.000, 0.000), Ag at (0.500, 0.500, 0.500) and Ge at (0.000, 0.000, 0.500).

The total magnetization is 0.00 μB/f.u. The calculation puts the formation energy at 0.34 eV/atom. The energy above the lowest structure with this stoichiometry is 0.000 eV per atom. The calculation puts the total energy at -25.368 eV per cell. The calculation puts the calculated volume at 112.3 Å³/f.u.

---

Entry 6:
Density functional theory data (GGA-PBE) for a relaxed Ti2TcAgGe crystal.

The structure belongs to space group P4/mmm (No. 123); the cell edges are 4.729, 4.729 and 4.603 Å and the angles 90.00°, 90.00° and 90.00°. Symmetry generates all atoms from Ti at (0.000, 0.500, 0.000), Tc at (0.000, 0.000, 0.500), Ag at (0.500, 0.500, 0.500) and Ge at (0.500, 0.500, 0.000).

The total magnetization is 0.54 μB/f.u. The calculation puts the formation energy at 0.91 eV/atom. The calculation puts the total energy at -29.053 eV per cell. The calculation puts the calculated volume at 102.9 Å³/f.u.

---

Entry 7:
Density functional theory data (GGA-PBE) for a relaxed Ag2GeTe3 crystal.

The structure belongs to space group Cmc2_1 (No. 36); the cell edges are 13.452, 7.784 and 7.380 Å and the angles 90.00°, 90.00° and 90.00°. Symmetry generates all atoms from Ag at (0.163, 0.164, 0.000), Ge at (0.000, 0.335, 0.523), Te at (0.000, 0.340, 0.150) and Te at (0.162, 0.177, 0.622).

The total magnetization is 0.00 μB/f.u. The calculation puts the raw formation energy at -1.6 kcal/mol of atoms. The energy above the lowest structure with this stoichiometry is 0.005 eV per atom. The calculation puts the total energy at -80.678 eV per cell. The calculation puts the calculated volume at 193.2 Å³/f.u.

---

Entry 8:
Density functional theory data (GGA-PBE) for a relaxed Ag3GeTe4 crystal.

The structure belongs to space group Pmn2_1 (No. 31); the cell edges are 8.767, 7.774 and 7.472 Å and the angles 90.00°, 90.00° and 90.00°. Symmetry generates all atoms from Ag at (0.000, 0.155, 0.000), Ag at (0.246, 0.328, 0.489), Ge at (0.000, 0.830, 0.498), Te at (0.000, 0.147, 0.627), Te at (0.000, 0.826, 0.142) and Te at (0.243, 0.665, 0.618).

The total magnetization is 0.00 μB/f.u. The calculation puts the raw formation energy at -1.4 kcal/mol of atoms. The energy above the lowest structure with this stoichiometry is 0.004 eV per atom. The calculation puts the total energy at -52.480 eV per cell. The calculation puts the calculated volume at 254.6 Å³/f.u.

---

Entry 9:
Density functional theory data (GGA-PBE) for a relaxed AgGe2Te2 crystal.

The structure belongs to space group I4/mmm (No. 139); the cell edges are 3.891, 3.891 and 16.275 Å and the angles 90.00°, 90.00° and 90.00°. Symmetry generates all atoms from Ag at (0.000, 0.000, 0.000), Ge at (0.000, 0.500, 0.250) and Te at (0.000, 0.000, 0.402).

The total magnetization is 0.00 μB/f.u. The calculation puts the raw formation energy at 5.2 kcal/mol of atoms. The energy above the lowest structure with this stoichiometry is 0.058 eV per atom. The calculation puts the total energy at -34.480 eV per cell. The calculation puts the calculated volume at 123.2 Å³/f.u.

---

Entry 10:
Density functional theory data (GGA-PBE) for a relaxed Ag3GeTe crystal.

The structure belongs to space group Pm-3m (No. 221); the cell edges are 4.970, 4.970 and 4.970 Å and the angles 90.00°, 90.00° and 90.00°. Symmetry generates all atoms from Ag at (0.000, 0.000, 0.500), Ge at (0.000, 0.000, 0.000) and Te at (0.500, 0.500, 0.500).

The total magnetization is 0.00 μB/f.u. The calculation puts the raw formation energy at 11.3 kcal/mol of atoms. The energy above the lowest structure with this stoichiometry is 0.000 eV per atom. The calculation puts the total energy at -13.867 eV per cell. The calculation puts the calculated volume at 122.8 Å³/f.u.